Here is a relaxed structure of AlSbP2 from the Alexandria database. Energies are from PBE-GGA.

The structure in CIF format:
```
data_AlSbP2
_cell_length_a 6.033
_cell_length_b 6.033
_cell_length_c 11.157
_cell_angle_alpha 90.00
_cell_angle_beta 90.00
_cell_angle_gamma 90.00
_symmetry_space_group_name_H-M 'I -4 2 d'
_symmetry_Int_Tables_number 122
_symmetry_space_group_name_Hall 'I -4 2bw'
loop_
_atom_site_label
_atom_site_fract_x
_atom_site_fract_y
_atom_site_fract_z
Al1 0.000 0.000 0.000
Sb1 0.000 0.000 0.500
P1 0.198 0.250 0.125
```

Summary:
Raw total energy = -4.65 eV per atom
Formation energy without anion corrections = 0.02 eV per atom
Relative energy among the computed polymorphs = 88 meV/atom

***

Here is a relaxed structure of Sc2TlH2 from the Alexandria database. Energies are from PBE-GGA.

The structure in CIF format:
```
data_Sc2TlH2
_cell_length_a 3.607
_cell_length_b 3.607
_cell_length_c 10.981
_cell_angle_alpha 90.00
_cell_angle_beta 90.00
_cell_angle_gamma 90.00
_symmetry_space_group_name_H-M 'I 4/m m m'
_symmetry_Int_Tables_number 139
_symmetry_space_group_name_Hall '-I 4 2'
loop_
_atom_site_label
_atom_site_fract_x
_atom_site_fract_y
_atom_site_fract_z
Sc1 0.000 0.000 0.158
Tl1 0.000 0.000 0.500
H1 0.000 0.500 0.250
```

Summary:
Raw total energy = -4.90 eV per atom

***

Here is a relaxed structure of Sm12Dy6Al from the Alexandria database. Energies are from PBE-GGA.

The structure in CIF format:
```
data_Sm12Dy6Al
_cell_length_a 11.9319
_cell_length_b 11.9319
_cell_length_c 15.1117
_cell_angle_alpha 90.00
_cell_angle_beta 90.00
_cell_angle_gamma 120.00
_symmetry_space_group_name_H-M 'R -3'
_symmetry_Int_Tables_number 148
_symmetry_space_group_name_Hall '-R 3'
loop_
_atom_site_label
_atom_site_fract_x
_atom_site_fract_y
_atom_site_fract_z
Sm1 0.0073 0.8315 0.3149
Sm2 0.0480 0.1991 0.9147
Dy1 0.0262 0.5921 0.1900
Al1 0.0000 0.0000 0.5000
```

Summary:
Formation energy = 0.086 eV per atom
Raw total energy = -4.54 eV per atom

***

Please write out number 3 again, unchanged.
Here is a relaxed structure of Sm12Dy6Al from the Alexandria database. Energies are from PBE-GGA.

The structure in CIF format:
```
data_Sm12Dy6Al
_cell_length_a 11.9319
_cell_length_b 11.9319
_cell_length_c 15.1117
_cell_angle_alpha 90.00
_cell_angle_beta 90.00
_cell_angle_gamma 120.00
_symmetry_space_group_name_H-M 'R -3'
_symmetry_Int_Tables_number 148
_symmetry_space_group_name_Hall '-R 3'
loop_
_atom_site_label
_atom_site_fract_x
_atom_site_fract_y
_atom_site_fract_z
Sm1 0.0073 0.8315 0.3149
Sm2 0.0480 0.1991 0.9147
Dy1 0.0262 0.5921 0.1900
Al1 0.0000 0.0000 0.5000
```

Summary:
Formation energy = 0.086 eV per atom
Raw total energy = -4.54 eV per atom

***

- raw total energy of number 1 (AlSbP2)?
  -4.65 eV per atom